(1)
An optimized crystal structure of Tb3ThIr3, computed with PBE.

```
Tb3ThIr3
1.0
-5.046 2.655 -4.908
-6.608 -3.523 0.719
-5.066 4.391 3.414
Tb Ir Th
6 6 2
direct
0.631 0.882 0.177
0.118 0.823 0.369
0.369 0.118 0.823
0.882 0.177 0.631
0.177 0.631 0.882
0.823 0.369 0.118
0.056 0.440 0.693
0.693 0.056 0.440
0.560 0.307 0.944
0.944 0.560 0.307
0.307 0.944 0.560
0.440 0.693 0.056
0.328 0.328 0.328
0.672 0.672 0.672
```

Calculated total energy: -7.61 eV per atom
Energy of formation from the pure elements: -0.77 eV/atom



(2)
An optimized crystal structure of TbThZnIr, computed with PBE.

```
TbThZnIr
1.0
-1.960 0.668 -4.602
2.374 -1.857 -4.047
-1.964 -3.919 -2.499
Zn Ir Tb Th
1 1 1 1
direct
0.500 0.500 0.500
0.000 0.000 0.000
0.250 0.250 0.250
0.750 0.750 0.750
```

Calculated total energy: -6.06 eV per atom
Energy of formation from the pure elements: -0.52 eV/atom



(3)
An optimized crystal structure of TbTi2Ir2, computed with PBE.

```
TbTi2Ir2
1.0
-0.129 -3.621 -2.214
3.308 -1.473 2.217
-4.963 0.444 3.634
Ti Tb Ir
2 1 2
direct
0.750 0.250 0.500
0.250 0.750 0.500
0.000 0.000 0.000
0.380 0.380 0.760
0.620 0.620 0.240
```

Calculated total energy: -8.44 eV per atom
Energy of formation from the pure elements: -0.82 eV/atom



(4)
An optimized crystal structure of TbTi2Ir3, computed with PBE.

```
TbTi2Ir3
1.0
-0.735 2.878 -0.771
-0.834 0.564 2.899
9.940 3.141 2.249
Ir Ti Tb
3 2 1
direct
0.000 0.000 0.293
0.000 0.000 0.707
0.000 0.000 0.000
0.500 0.500 0.156
0.500 0.500 0.844
0.500 0.500 0.500
```

Calculated total energy: -8.65 eV per atom
Energy of formation from the pure elements: -0.82 eV/atom